First-principles (GGA-PBE) data for a relaxed BeIn crystal, as listed in the Alexandria database.

Output
energy relative to the lowest polymorph listed for this composition = 356 meV/atom
energy = -2.591 eV/atom

Cell: 4.060 4.060 4.323 Å, 90.00 90.00 90.00°
Space group P4/nmm (No. 129, origin choice 2)
Inequivalent atoms, fractional coordinates:
Be 0.250 0.750 0.000 [2 per cell]
In 0.250 0.250 0.383 [2 per cell]



First-principles (GGA-PBE) data for a relaxed GeAsPd2 crystal, as listed in the Alexandria database.

Output
energy relative to the lowest polymorph listed for this composition = 333 meV/atom
energy = -4.956 eV/atom

Cell: 6.198 6.198 8.794 Å, 90.00 90.00 90.00°
Space group I-42d (No. 122)
Inequivalent atoms, fractional coordinates:
Ge 0.000 0.000 0.000 [4 per cell]
As 0.000 0.000 0.500 [4 per cell]
Pd 0.248 0.250 0.625 [8 per cell]



First-principles (GGA-PBE) data for a relaxed ZnIr2Pb2 crystal, as listed in the Alexandria database.

Output
energy relative to the lowest polymorph listed for this composition = 0 meV/atom
energy = -5.002 eV/atom

Cell: 6.905 6.905 4.184 Å, 90.00 90.00 90.00°
Space group P4/mbm (No. 127)
Inequivalent atoms, fractional coordinates:
Zn 0.000 0.000 0.000 [2 per cell]
Ir 0.141 0.359 0.000 [4 per cell]
Pb 0.167 0.667 0.500 [4 per cell]